Entry 1:
VASP calculation (PBE) on crystalline LiTbZnRu at its relaxed geometry.

DFT total energy in eV/atom: -4.409
Formation enthalpy at 0 K in eV/atom: -0.136

Unit cell a=4.624 b=4.624 c=4.624 alpha=60.00 beta=60.00 gamma=60.00
Positions (direct):
Ru (0.500, 0.500, 0.500)
Zn (0.750, 0.750, 0.750)
Tb (0.250, 0.250, 0.250)
Li (0.000, 0.000, 0.000)

=====

Entry 2:
VASP calculation (PBE) on crystalline Li2TcRu at its relaxed geometry.

DFT total energy in eV/atom: -5.687
Relative energy among the computed polymorphs in kJ/mol of formula units: 23.6
Formation enthalpy at 0 K in eV/atom: 0.180

Unit cell a=4.460 b=4.460 c=5.114 alpha=86.20 beta=86.20 gamma=34.11
Positions (direct):
Li (0.999, 0.999, 0.979)
Li (0.754, 0.754, 0.767)
Ru (0.497, 0.497, 0.469)
Tc (0.250, 0.250, 0.285)

=====

Entry 3:
VASP calculation (PBE) on crystalline Li2TcRu at its relaxed geometry.

DFT total energy in eV/atom: -5.618
Relative energy among the computed polymorphs in kJ/mol of formula units: 50.3
Formation enthalpy at 0 K in eV/atom: 0.249

Unit cell a=5.259 b=5.259 c=2.533 alpha=80.68 beta=80.68 gamma=122.06
Positions (direct):
Li (0.000, 0.000, 0.000)
Li (0.500, 0.500, 0.000)
Ru (0.500, 0.000, 0.500)
Tc (0.000, 0.500, 0.500)

=====

Entry 4:
VASP calculation (PBE) on crystalline LiTcRu at its relaxed geometry.

DFT total energy in eV/atom: -7.008
Relative energy among the computed polymorphs in kJ/mol of formula units: 9.4
Formation enthalpy at 0 K in eV/atom: 0.177

Unit cell a=4.432 b=4.432 c=4.432 alpha=144.57 beta=126.28 gamma=66.01
Positions (direct):
Li (0.999, 0.999, 0.000)
Ru (0.335, 0.335, 0.000)
Tc (0.666, 0.666, 0.000)

=====

What did the fourth record say?
VASP calculation (PBE) on crystalline LiTcRu at its relaxed geometry.

DFT total energy in eV/atom: -7.008
Relative energy among the computed polymorphs in kJ/mol of formula units: 9.4
Formation enthalpy at 0 K in eV/atom: 0.177

Unit cell a=4.432 b=4.432 c=4.432 alpha=144.57 beta=126.28 gamma=66.01
Positions (direct):
Li (0.999, 0.999, 0.000)
Ru (0.335, 0.335, 0.000)
Tc (0.666, 0.666, 0.000)